This record from the Alexandria database describes an optimized crystal structure of KAsO3. The functional is PBE.

Total magnetization: 0.00 μB per cell
Energy relative to the elements, uncorrected: -1523 meV/atom
Crystal system: monoclinic

Structure (CIF):
```
data_KAsO3
_space_group_name_H-M_alt 'P 1 21/c 1'
_space_group_IT_number 14
_space_group_name_Hall '-P 2ybc'
_cell_length_a 10.705
_cell_length_b 4.839
_cell_length_c 14.954
_cell_angle_alpha 90.00
_cell_angle_beta 101.32
_cell_angle_gamma 90.00
loop_
_atom_site_label
_atom_site_type_symbol
_atom_site_fract_x
_atom_site_fract_y
_atom_site_fract_z
_atom_site_occupancy
K1 K 0.067 0.225 0.177 1
K2 K 0.396 0.731 0.633 1
As1 As 0.211 0.204 0.450 1
As2 As 0.313 0.702 0.347 1
O1 O 0.068 0.230 0.381 1
O2 O 0.190 0.726 0.259 1
O3 O 0.235 0.220 0.061 1
O4 O 0.275 0.642 0.948 1
O5 O 0.332 0.141 0.895 1
O6 O 0.459 0.720 0.830 1
```

This record from the Alexandria database describes an optimized crystal structure of Rb2CoSi. The functional is PBE.

Total magnetization: 1.73 μB per cell
Energy relative to the elements, uncorrected: 414 meV/atom
Crystal system: tetragonal

Structure (CIF):
```
data_Rb2CoSi
_space_group_name_H-M_alt 'I -4 2 d'
_space_group_IT_number 122
_space_group_name_Hall 'I -4 2bw'
_cell_length_a 12.996
_cell_length_b 12.996
_cell_length_c 4.393
_cell_angle_alpha 90.00
_cell_angle_beta 90.00
_cell_angle_gamma 90.00
loop_
_atom_site_label
_atom_site_type_symbol
_atom_site_fract_x
_atom_site_fract_y
_atom_site_fract_z
_atom_site_occupancy
Rb1 Rb 0.030 0.250 0.125 1
Co1 Co 0.000 0.000 0.000 1
Si1 Si 0.000 0.000 0.500 1
```

This record from the Alexandria database describes an optimized crystal structure of CoIrPt2. The functional is PBE.

Total magnetization: 3.96 μB per cell
Energy above the lowest structure with this stoichiometry: 0.218 eV per atom
ΔH_f (0 K): 0.20 eV/atom
Crystal system: orthorhombic

Structure (CIF):
```
data_CoIrPt2
_space_group_name_H-M_alt 'C m m m'
_space_group_IT_number 65
_space_group_name_Hall '-C 2 2'
_cell_length_a 2.709
_cell_length_b 4.705
_cell_length_c 9.256
_cell_angle_alpha 90.00
_cell_angle_beta 90.00
_cell_angle_gamma 90.00
loop_
_atom_site_label
_atom_site_type_symbol
_atom_site_fract_x
_atom_site_fract_y
_atom_site_fract_z
_atom_site_occupancy
Co1 Co 0.000 0.000 0.000 1
Ir1 Ir 0.000 0.000 0.500 1
Pt1 Pt 0.000 0.500 0.239 1
```